[1]
DFT (PBE) results for an optimized crystal structure of TaGa2Fe. Values from VASP.

```
&SYSTEM
  ibrav = 0, nat = 4, ntyp = 3
/
ATOMIC_SPECIES
Ga 69.72 Ga.upf
Ta 180.95 Ta.upf
Fe 55.84 Fe.upf
ATOMIC_POSITIONS angstrom
Ga 4.2887 2.4761 2.4606
Ga 1.4296 0.8254 7.0953
Ta 2.8592 1.6507 4.7780
Fe 0.0000 0.0000 0.0000
CELL_PARAMETERS angstrom
2.8592 0.0000 0.0000
1.4296 2.4761 0.0000
1.4296 0.8254 9.5559
```

DOS at the Fermi energy	3.40	states/eV/cell
size of the total moment	2.73	μB per formula unit
energy	-0.4640	Ry per atom
DFT formation energy	0.279	eV/atom

[2]
DFT (PBE) results for an optimized crystal structure of Ta2GaFe3. Values from VASP.

```
&SYSTEM
  ibrav = 0, nat = 12, ntyp = 3
/
ATOMIC_SPECIES
Ga 69.72 Ga.upf
Fe 55.84 Fe.upf
Ta 180.95 Ta.upf
ATOMIC_POSITIONS angstrom
Ga 0.1875 0.4080 3.9614
Ga 0.0000 0.0000 0.0000
Fe 3.6644 -0.6752 1.9022
Fe 1.3257 -0.5745 2.0026
Fe -1.0216 -2.8026 6.3555
Fe 1.3170 -2.9033 6.2551
Fe 0.2254 -0.8364 6.0939
Fe 2.4173 -2.6413 2.1638
Ta 2.7262 -0.7377 7.4531
Ta 2.5871 -1.0402 4.5154
Ta -0.0835 -2.7401 0.8046
Ta 0.0556 -2.4375 3.7423
CELL_PARAMETERS angstrom
-2.5907 -4.0846 0.5434
4.8584 -0.2092 -0.2084
0.3751 0.8161 7.9228
```

DOS at the Fermi energy	8.53	states/eV/cell
size of the total moment	4.51	μB per formula unit
energy	-0.6586	Ry per atom
DFT formation energy	-0.274	eV/atom

[3]
DFT (PBE) results for an optimized crystal structure of Ta2Ga2Fe3. Values from VASP.

```
&SYSTEM
  ibrav = 0, nat = 7, ntyp = 3
/
ATOMIC_SPECIES
Fe 55.84 Fe.upf
Ta 180.95 Ta.upf
Ga 69.72 Ga.upf
ATOMIC_POSITIONS angstrom
Fe 0.0000 0.0000 0.0000
Fe -1.0372 -1.9413 1.8481
Fe -2.5025 1.2889 4.1556
Ta -1.0831 0.2959 5.9575
Ta -2.4566 -0.9483 0.0462
Ga -2.2996 -1.3278 3.8939
Ga -1.2401 0.6754 2.1098
CELL_PARAMETERS angstrom
-3.6633 -0.0718 -2.1175
1.3800 -3.4895 1.9330
-1.2564 2.9089 6.1881
```

DOS at the Fermi energy	3.56	states/eV/cell
size of the total moment	0.00	μB per formula unit
energy	-0.5904	Ry per atom
DFT formation energy	-0.155	eV/atom

[4]
DFT (PBE) results for an optimized crystal structure of TaGa2Fe. Values from VASP.

```
&SYSTEM
  ibrav = 0, nat = 4, ntyp = 3
/
ATOMIC_SPECIES
Fe 55.84 Fe.upf
Ga 69.72 Ga.upf
Ta 180.95 Ta.upf
ATOMIC_POSITIONS angstrom
Fe 0.0000 0.0000 0.0000
Ga -2.2074 -0.9782 1.1953
Ga -6.6222 -2.9346 3.5859
Ta -4.4148 -1.9564 2.3906
CELL_PARAMETERS angstrom
-1.8909 -0.8981 3.8696
-4.3411 0.5118 0.4985
-2.5977 -3.5266 0.4131
```

DOS at the Fermi energy	4.59	states/eV/cell
size of the total moment	1.87	μB per formula unit
energy	-0.4739	Ry per atom
DFT formation energy	0.144	eV/atom

[5]
DFT (PBE) results for an optimized crystal structure of TaTiGaFe. Values from VASP.

```
&SYSTEM
  ibrav = 0, nat = 4, ntyp = 4
/
ATOMIC_SPECIES
Fe 55.84 Fe.upf
Ti 47.87 Ti.upf
Ga 69.72 Ga.upf
Ta 180.95 Ta.upf
ATOMIC_POSITIONS angstrom
Fe 4.3701 2.5231 1.7841
Ti 0.0000 0.0000 0.0000
Ga 2.1850 1.2615 0.8920
Ta 6.5551 3.7846 2.6761
CELL_PARAMETERS angstrom
4.3701 0.0000 0.0000
2.1850 3.7846 0.0000
2.1850 1.2615 3.5682
```

DOS at the Fermi energy	4.45	states/eV/cell
size of the total moment	2.00	μB per formula unit
energy	-0.5808	Ry per atom
DFT formation energy	-0.093	eV/atom

[6]
DFT (PBE) results for an optimized crystal structure of TbGa6Fe. Values from VASP.

```
&SYSTEM
  ibrav = 0, nat = 8, ntyp = 3
/
ATOMIC_SPECIES
Ga 69.72 Ga.upf
Tb 158.93 Tb.upf
Fe 55.84 Fe.upf
ATOMIC_POSITIONS angstrom
Ga 5.0192 4.6553 4.7476
Ga 2.2787 5.7080 3.8978
Ga 1.6343 1.5158 0.7758
Ga 5.8630 1.8435 3.8978
Ga 4.3748 0.4631 1.6257
Ga 0.7905 4.3276 1.6257
Tb 3.3268 3.0855 2.7617
Fe 0.0000 0.0000 0.0000
CELL_PARAMETERS angstrom
5.5455 -0.9945 0.1874
-0.5750 5.6045 0.1874
1.6831 1.5611 5.1486
```

DOS at the Fermi energy	3.31	states/eV/cell
size of the total moment	0.54	μB per formula unit
energy	-0.3040	Ry per atom
DFT formation energy	-0.229	eV/atom